Record 1
! Gd2MnGa6 (GGA-PBEsol, relaxed); values from VASP
! - E_form (kcal/mol of atoms) = -13.09
! - space group = Fm-3m (225)
! - raw total energy (eV for the cell shown) = -63.805
&SYSTEM
  ibrav = 0, nat = 9, ntyp = 3
/
ATOMIC_SPECIES
Gd 157.25 Gd.upf
Mn 54.94 Mn.upf
Ga 69.72 Ga.upf
ATOMIC_POSITIONS angstrom
Gd 2.158 2.158 2.158
Gd 6.475 6.475 6.475
Mn 0.000 0.000 0.000
Ga 4.316 4.316 2.422
Ga 4.316 2.422 4.316
Ga 6.211 4.316 4.316
Ga 2.422 4.316 4.316
Ga 4.316 6.211 4.316
Ga 4.316 4.316 6.211
CELL_PARAMETERS angstrom
0.000 4.316 4.316
4.316 0.000 4.316
4.316 4.316 0.000



Record 2
! Gd2NbGaO7 (GGA-PBEsol, relaxed); values from VASP
! - space group = Imma (74)
! - formation energy (no corrections) (meV per atom) = -2872.8
! - raw total energy (eV for the cell shown) = -222.810
&SYSTEM
  ibrav = 0, nat = 22, ntyp = 4
/
ATOMIC_SPECIES
Gd 157.25 Gd.upf
Nb 92.91 Nb.upf
Ga 69.72 Ga.upf
O 16.00 O.upf
ATOMIC_POSITIONS angstrom
Gd 0.000 0.000 0.000
Gd -1.788 1.838 2.570
Gd 0.000 3.676 0.000
Gd 1.788 1.838 2.570
Nb 3.577 0.000 0.000
Nb 0.000 0.000 5.139
Ga 1.788 1.838 -2.570
Ga 1.788 -1.838 2.570
O 3.577 -1.838 3.421
O 2.106 -0.309 1.293
O 5.048 -0.309 1.293
O 3.577 1.838 0.834
O 2.106 3.367 -1.293
O 1.471 -0.309 3.847
O 0.000 1.838 1.287
O 3.577 1.838 3.853
O 2.106 3.985 1.293
O 1.471 0.309 6.432
O 0.000 1.838 4.305
O -1.471 3.985 3.847
O 1.471 3.985 3.847
O 0.000 5.514 1.719
CELL_PARAMETERS angstrom
-3.577 3.676 5.139
3.577 -3.676 5.139
3.577 3.676 -5.139



Record 3
! Gd3GaO6 (GGA-PBEsol, relaxed); values from VASP
! - space group = Cmc2_1 (36)
! - formation energy (no corrections) (meV per atom) = -3138.4
! - raw total energy (eV for the cell shown) = -219.132
&SYSTEM
  ibrav = 0, nat = 20, ntyp = 3
/
ATOMIC_SPECIES
Gd 157.25 Gd.upf
Ga 69.72 Ga.upf
O 16.00 O.upf
ATOMIC_POSITIONS angstrom
Gd 4.466 4.443 2.723
Gd 2.745 1.181 2.974
Gd 2.745 -1.181 0.250
Gd 6.187 1.181 2.974
Gd 6.187 -1.181 0.250
Gd 4.466 -4.443 0.000
Ga 4.466 2.154 0.426
Ga 4.466 -2.154 3.149
O 3.058 2.941 1.379
O 1.427 0.168 1.492
O 1.427 -0.168 4.215
O 4.466 2.417 4.051
O 5.873 2.941 1.379
O 4.466 0.437 1.185
O 4.466 -0.437 3.908
O 3.058 -2.941 4.103
O 4.466 -2.417 1.328
O 7.504 0.168 1.492
O 7.504 -0.168 4.215
O 5.873 -2.941 4.103
CELL_PARAMETERS angstrom
4.466 -5.599 0.000
4.466 5.599 0.000
0.000 0.000 5.447



Record 4
! GdGa3Os (GGA-PBEsol, relaxed); values from VASP
! - E_form (kcal/mol of atoms) = -12.19
! - space group = Pm-3m (221)
! - raw total energy (eV for the cell shown) = -117.981
&SYSTEM
  ibrav = 0, nat = 15, ntyp = 3
/
ATOMIC_SPECIES
Gd 157.25 Gd.upf
Ga 69.72 Ga.upf
Os 190.23 Os.upf
ATOMIC_POSITIONS angstrom
Gd 0.000 0.000 3.185
Gd 0.000 3.185 0.000
Gd 3.185 0.000 0.000
Ga 0.000 0.000 0.000
Ga 1.848 1.848 1.848
Ga 1.848 1.848 4.522
Ga 1.848 4.522 1.848
Ga 1.848 4.522 4.522
Ga 4.522 1.848 1.848
Ga 4.522 1.848 4.522
Ga 4.522 4.522 1.848
Ga 4.522 4.522 4.522
Os 0.000 3.185 3.185
Os 3.185 0.000 3.185
Os 3.185 3.185 0.000
CELL_PARAMETERS angstrom
6.369 0.000 0.000
0.000 6.369 0.000
0.000 0.000 6.369



Record 5
! GdGaPd2 (GGA-PBEsol, relaxed); values from VASP
! - E_form (kcal/mol of atoms) = -20.56
! - space group = Pnma (62)
! - raw total energy (eV for the cell shown) = -133.086
&SYSTEM
  ibrav = 0, nat = 16, ntyp = 3
/
ATOMIC_SPECIES
Gd 157.25 Gd.upf
Ga 69.72 Ga.upf
Pd 106.42 Pd.upf
ATOMIC_POSITIONS angstrom
Gd 0.219 1.761 0.797
Gd 3.440 5.282 3.578
Gd 3.878 1.761 1.984
Gd 7.099 5.282 4.764
Ga 0.848 5.282 1.977
Ga 2.811 1.761 4.758
Ga 4.507 5.282 0.804
Ga 6.470 1.761 3.584
Pd 1.328 0.364 3.273
Pd 1.328 3.157 3.273
Pd 2.331 3.886 0.492
Pd 2.331 6.678 0.492
Pd 4.987 0.364 5.069
Pd 4.987 3.157 5.069
Pd 5.990 3.886 2.289
Pd 5.990 6.678 2.289
CELL_PARAMETERS angstrom
7.318 0.000 0.000
0.000 7.043 0.000
0.000 0.000 5.561



Record 6
! GdGaRh2 (GGA-PBEsol, relaxed); values from VASP
! - E_form (kcal/mol of atoms) = -17.09
! - space group = Fm-3m (225)
! - raw total energy (eV for the cell shown) = -37.030
&SYSTEM
  ibrav = 0, nat = 4, ntyp = 3
/
ATOMIC_SPECIES
Gd 157.25 Gd.upf
Ga 69.72 Ga.upf
Rh 102.91 Rh.upf
ATOMIC_POSITIONS angstrom
Gd 0.000 0.000 0.000
Ga 3.194 3.194 3.194
Rh 1.597 1.597 1.597
Rh 4.790 4.790 4.790
CELL_PARAMETERS angstrom
0.000 3.194 3.194
3.194 0.000 3.194
3.194 3.194 0.000



Record 7
! GdGa3Ru (GGA-PBEsol, relaxed); values from VASP
! - E_form (kcal/mol of atoms) = -14.07
! - space group = Pm-3m (221)
! - raw total energy (eV for the cell shown) = -113.075
&SYSTEM
  ibrav = 0, nat = 15, ntyp = 3
/
ATOMIC_SPECIES
Gd 157.25 Gd.upf
Ga 69.72 Ga.upf
Ru 101.07 Ru.upf
ATOMIC_POSITIONS angstrom
Gd 0.000 0.000 3.179
Gd 0.000 3.179 0.000
Gd 3.179 0.000 0.000
Ga 0.000 0.000 0.000
Ga 1.847 1.847 1.847
Ga 1.847 1.847 4.511
Ga 1.847 4.511 1.847
Ga 1.847 4.511 4.511
Ga 4.511 1.847 1.847
Ga 4.511 1.847 4.511
Ga 4.511 4.511 1.847
Ga 4.511 4.511 4.511
Ru 0.000 3.179 3.179
Ru 3.179 0.000 3.179
Ru 3.179 3.179 0.000
CELL_PARAMETERS angstrom
6.359 0.000 0.000
0.000 6.359 0.000
0.000 0.000 6.359



Record 8
! Gd2ZnGa (GGA-PBEsol, relaxed); values from VASP
! - E_form (kcal/mol of atoms) = -11.67
! - space group = Fm-3m (225)
! - raw total energy (eV for the cell shown) = -35.843
&SYSTEM
  ibrav = 0, nat = 4, ntyp = 3
/
ATOMIC_SPECIES
Gd 157.25 Gd.upf
Zn 65.41 Zn.upf
Ga 69.72 Ga.upf
ATOMIC_POSITIONS angstrom
Gd 1.771 1.771 1.771
Gd 5.314 5.314 5.314
Zn 0.000 0.000 0.000
Ga 3.543 3.543 3.543
CELL_PARAMETERS angstrom
0.000 3.543 3.543
3.543 0.000 3.543
3.543 3.543 0.000



Record 9
! GdZnGa (GGA-PBEsol, relaxed); values from VASP
! - E_form (kcal/mol of atoms) = -13.58
! - space group = P6_3/mmc (194)
! - raw total energy (eV for the cell shown) = -42.275
&SYSTEM
  ibrav = 0, nat = 6, ntyp = 3
/
ATOMIC_SPECIES
Gd 157.25 Gd.upf
Zn 65.41 Zn.upf
Ga 69.72 Ga.upf
ATOMIC_POSITIONS angstrom
Gd 0.000 0.000 0.000
Gd 0.000 0.000 3.573
Zn 0.000 2.527 1.786
Zn 2.188 1.263 5.359
Ga 0.000 2.527 5.359
Ga 2.188 1.263 1.786
CELL_PARAMETERS angstrom
4.377 0.000 0.000
-2.188 3.790 0.000
0.000 0.000 7.145



Record 10
! Ga3Ge (GGA-PBEsol, relaxed); values from VASP
! - energy above the lowest structure with this stoichiometry (eV per atom) = 0.009
! - E_form (kcal/mol of atoms) = 2.03
! - space group = P6_3/mmc (194)
! - raw total energy (eV for the cell shown) = -29.211
&SYSTEM
  ibrav = 0, nat = 8, ntyp = 2
/
ATOMIC_SPECIES
Ga 69.72 Ga.upf
Ge 72.64 Ge.upf
ATOMIC_POSITIONS angstrom
Ga 0.000 1.734 1.147
Ga -1.505 4.341 1.147
Ga 1.502 0.867 3.442
Ga 1.505 4.341 1.147
Ga 4.512 0.867 3.442
Ga 3.007 3.474 3.442
Ge 0.000 3.472 3.442
Ge 3.007 1.736 1.147
CELL_PARAMETERS angstrom
6.014 0.000 0.000
-3.007 5.208 0.000
0.000 0.000 4.589



Record 11
! Ga3Ge (GGA-PBEsol, relaxed); values from VASP
! - energy above the lowest structure with this stoichiometry (eV per atom) = 0.000
! - E_form (kcal/mol of atoms) = 1.84
! - space group = Pm-3m (221)
! - raw total energy (eV for the cell shown) = -14.640
&SYSTEM
  ibrav = 0, nat = 4, ntyp = 2
/
ATOMIC_SPECIES
Ga 69.72 Ga.upf
Ge 72.64 Ge.upf
ATOMIC_POSITIONS angstrom
Ga 0.000 0.000 2.078
Ga 0.000 2.078 0.000
Ga 2.078 0.000 0.000
Ge 2.078 2.078 2.078
CELL_PARAMETERS angstrom
4.156 0.000 0.000
0.000 4.156 0.000
0.000 0.000 4.156



Record 12
! HfGaGe2Mo (GGA-PBEsol, relaxed); values from VASP
! - E_form (kcal/mol of atoms) = 12.67
! - space group = P4/mmm (123)
! - raw total energy (eV for the cell shown) = -32.742
&SYSTEM
  ibrav = 0, nat = 5, ntyp = 4
/
ATOMIC_SPECIES
Hf 178.49 Hf.upf
Ga 69.72 Ga.upf
Ge 72.64 Ge.upf
Mo 95.94 Mo.upf
ATOMIC_POSITIONS angstrom
Hf 0.000 0.000 0.000
Ga 2.401 2.401 0.000
Ge 0.000 2.401 2.507
Ge 2.401 0.000 2.507
Mo 0.000 0.000 2.507
CELL_PARAMETERS angstrom
4.803 0.000 0.000
0.000 4.803 0.000
0.000 0.000 5.014



Number 1: mass density 8.1 g cm⁻³. Number 2: mass density 7.2 g cm⁻³. Number 3: mass density 7.8 g cm⁻³. Number 4: mass density 10.7 g cm⁻³. Number 5: mass density 10.2 g cm⁻³. Number 6: mass density 11.0 g cm⁻³. Number 7: mass density 9.1 g cm⁻³. Number 8: mass density 8.4 g cm⁻³. Number 9: mass density 8.2 g cm⁻³. Number 10: mass density 6.5 g cm⁻³. Number 11: mass density 6.5 g cm⁻³. Number 12: mass density 7.0 g cm⁻³.